Material: SmN
Method: DFT, GGA-PBEsol
State: relaxed

a = 3.545 Å, b = 3.545 Å, c = 3.545 Å
α = 60.00°, β = 60.00°, γ = 60.00°
Sites, in units of the cell vectors:
N 0.500 0.500 0.500
Sm 0.000 0.000 0.000

Output
The energy is -8.447 eV per atom. The density of states at the Fermi level is 0.09 states/eV/atom. The calculated volume is 15.7 A^3/atom. The value obtained for the total moment is 0.0 μB per formula unit.

---

Material: Sr7SnN6
Method: DFT, GGA-PBEsol
State: relaxed

a = 6.605 Å, b = 11.697 Å, c = 13.986 Å
α = 90.00°, β = 90.00°, γ = 90.00°
Sites, in units of the cell vectors:
Sr 0.657 0.266 0.128
Sr 0.560 0.000 0.250
N 0.753 0.366 0.297
N 0.093 0.335 0.506
Sr 0.398 0.292 0.385
Sr 0.157 0.234 0.128
N 0.620 0.441 0.640
Sr 0.731 0.965 0.522
Sr 0.231 0.535 0.522
N 0.747 0.134 0.797
Sr 0.060 0.500 0.250
Sr 0.898 0.792 0.115
N 0.593 0.165 0.506
Sr 0.898 0.208 0.385
Sr 0.843 0.234 0.628
N 0.247 0.366 0.797
Sn 0.435 0.500 0.750
Sr 0.102 0.792 0.615
N 0.120 0.059 0.640
N 0.907 0.665 0.494
N 0.380 0.559 0.360
Sr 0.231 0.465 0.978
Sr 0.940 0.500 0.750
Sr 0.269 0.035 0.478
N 0.907 0.335 0.006
N 0.253 0.134 0.297
N 0.880 0.059 0.140
N 0.120 0.941 0.860
N 0.093 0.665 0.994
N 0.593 0.835 0.994
N 0.747 0.866 0.703
Sr 0.102 0.208 0.885
Sr 0.769 0.465 0.478
Sr 0.343 0.734 0.872
N 0.880 0.941 0.360
Sn 0.065 0.000 0.250
N 0.620 0.559 0.860
N 0.407 0.165 0.006
Sn 0.565 0.500 0.250
Sr 0.440 0.000 0.750
N 0.247 0.634 0.703
N 0.407 0.835 0.494
Sr 0.657 0.734 0.372
N 0.380 0.441 0.140
N 0.253 0.866 0.203
Sr 0.602 0.708 0.615
Sn 0.935 0.000 0.750
N 0.753 0.634 0.203
Sr 0.343 0.266 0.628
Sr 0.269 0.965 0.022
Sr 0.398 0.708 0.115
Sr 0.602 0.292 0.885
Sr 0.769 0.535 0.022
Sr 0.843 0.766 0.872
Sr 0.157 0.766 0.372
Sr 0.731 0.035 0.978

Output
The energy is -5.526 eV per atom. The calculated volume is 19.3 A^3/atom. The value obtained for the total moment is 0.0 μB per formula unit.

---

Material: SnTe2N
Method: DFT, GGA-PBEsol
State: relaxed

a = 3.481 Å, b = 3.481 Å, c = 9.393 Å
α = 79.32°, β = 79.32°, γ = 60.00°
Sites, in units of the cell vectors:
N 0.000 0.000 0.000
Te 0.930 0.930 0.211
Sn 0.500 0.500 0.500
Te 0.070 0.070 0.789

Output
The energy is -4.268 eV per atom. The density of states at the Fermi level is 0.52 states/eV/atom. The calculated volume is 24.1 A^3/atom. The value obtained for the total moment is 0.0 μB per formula unit.

---

Material: YSnTe2N
Method: DFT, GGA-PBEsol
State: relaxed

a = 3.968 Å, b = 5.687 Å, c = 5.687 Å
α = 90.00°, β = 90.00°, γ = 90.00°
Each line ends with the local moment (μB).
Sites, in units of the cell vectors:
N 0.500 0.000 0.000  0.14
Te 0.000 0.500 0.000  0.02
Te 0.000 0.000 0.500  0.02
Sn 0.000 0.000 0.000  -0.01
Y 0.500 0.500 0.500  -0.01

Output
The energy is -5.222 eV per atom. The density of states at the Fermi level is 0.52 states/eV/atom. The calculated volume is 25.7 A^3/atom. The value obtained for the total moment is 0.2 μB per formula unit.

---

Material: ZnSnN2
Method: DFT, GGA-PBEsol
State: relaxed

a = 3.978 Å, b = 3.978 Å, c = 3.978 Å
α = 60.00°, β = 60.00°, γ = 60.00°
Each line ends with the local moment (μB).
Sites, in units of the cell vectors:
N 0.250 0.250 0.250  0.12
N 0.750 0.750 0.750  0.12
Zn 0.000 0.000 0.000  0.00
Sn 0.500 0.500 0.500  -0.01

Output
The energy is -4.669 eV per atom. The density of states at the Fermi level is 0.66 states/eV/atom. The calculated volume is 11.1 A^3/atom. The value obtained for the total moment is 0.3 μB per formula unit.

---

Material: ZnSnN2
Method: DFT, GGA-PBEsol
State: relaxed

a = 5.470 Å, b = 5.838 Å, c = 6.716 Å
α = 90.00°, β = 90.00°, γ = 90.00°
Sites, in units of the cell vectors:
N 0.879 0.917 0.873
N 0.879 0.417 0.627
N 0.379 0.583 0.373
Sn 0.500 0.912 0.875
Zn 0.499 0.417 0.125
Zn 0.499 0.917 0.375
Zn 0.999 0.583 0.875
Zn 0.999 0.083 0.625
N 0.873 0.921 0.377
N 0.873 0.421 0.123
Sn 0.000 0.088 0.125
Sn 0.000 0.588 0.375
Sn 0.500 0.412 0.625
N 0.373 0.079 0.623
N 0.379 0.083 0.127
N 0.373 0.579 0.877

Output
The energy is -5.807 eV per atom. The density of states at the Fermi level is 0.03 states/eV/atom. The calculated volume is 13.4 A^3/atom. The value obtained for the total moment is 0.0 μB per formula unit.

---

Material: ZnSnN2
Method: DFT, GGA-PBEsol
State: relaxed

a = 4.737 Å, b = 4.737 Å, c = 5.840 Å
α = 113.92°, β = 113.92°, γ = 90.00°
Sites, in units of the cell vectors:
N 0.125 0.130 0.750
N 0.380 0.875 0.250
Sn 0.250 0.750 0.500
Sn 0.000 0.000 0.000
N 0.870 0.375 0.250
Zn 0.750 0.250 0.500
Zn 0.500 0.500 0.000
N 0.625 0.620 0.750

Output
The energy is -5.802 eV per atom. The density of states at the Fermi level is 0.09 states/eV/atom. The calculated volume is 13.4 A^3/atom. The value obtained for the total moment is 0.0 μB per formula unit.

---

Material: ZrSnN3
Method: DFT, GGA-PBEsol
State: relaxed

a = 3.998 Å, b = 3.998 Å, c = 3.998 Å
α = 90.00°, β = 90.00°, γ = 90.00°
Sites, in units of the cell vectors:
Sn 0.000 0.000 0.000
Zr 0.500 0.500 0.500
N 0.000 0.000 0.500
N 0.000 0.500 0.000
N 0.500 0.000 0.000

Output
The energy is -7.193 eV per atom. The density of states at the Fermi level is 0.64 states/eV/atom. The calculated volume is 12.8 A^3/atom. The value obtained for the total moment is 0.0 μB per formula unit.

---

Material: ZrSn3N
Method: DFT, GGA-PBEsol
State: relaxed

a = 4.623 Å, b = 4.623 Å, c = 4.623 Å
α = 90.00°, β = 90.00°, γ = 90.00°
Sites, in units of the cell vectors:
Zr 0.500 0.500 0.500
Sn 0.500 0.000 0.000
Sn 0.000 0.000 0.500
Sn 0.000 0.500 0.000
N 0.000 0.000 0.000

Output
The energy is -5.825 eV per atom. The density of states at the Fermi level is 0.43 states/eV/atom. The calculated volume is 19.8 A^3/atom. The value obtained for the total moment is 0.0 μB per formula unit. For the distance to the lowest polymorph of the same formula, the calculation gives 0.000 eV/atom.

---

Material: ZrSn3N
Method: DFT, GGA-PBEsol
State: relaxed

a = 5.487 Å, b = 5.487 Å, c = 5.487 Å
α = 90.00°, β = 90.00°, γ = 90.00°
Each line ends with the local moment (μB).
Sites, in units of the cell vectors:
Zr 0.000 0.000 0.000  0.13
Sn 0.000 0.000 0.500  0.03
Sn 0.500 0.000 0.000  0.03
Sn 0.000 0.500 0.000  0.03
N 0.500 0.500 0.500  1.78

Output
The energy is -4.735 eV per atom. The density of states at the Fermi level is 0.41 states/eV/atom. The calculated volume is 33.0 A^3/atom. The value obtained for the total moment is 3.0 μB per formula unit. For the distance to the lowest polymorph of the same formula, the calculation gives 1.090 eV/atom.

---

| no. | E_form (uncorrected) (eV per formula unit) |
| --- | --- |
| 1 | -3.27 |
| 2 | -9.06 |
| 3 | 2.77 |
| 4 | 0.55 |
| 5 | 4.22 |
| 6 | -0.34 |
| 7 | -0.31 |
| 8 | 2.96 |
| 9 | 1.27 |
| 10 | 6.72 |